Compound: CoTc2Se
Source: the Alexandria database
Functional: PBE
Structure: optimized geometry

Cell lengths 2.7400, 2.7400, 8.6173 Å; angles 90.00, 90.00, 113.87 degrees
Element x y z (fractional)
Co  0.0000  0.0000  0.0000
Tc  0.0000  0.0000  0.5164
Tc  0.5000  0.5000  0.7619
Se  0.5000  0.5000  0.2395

Output
space group = No. 35
VASP energy = -7.324 eV per atom
crystal system = orthorhombic



Compound: CoTc2Se
Source: the Alexandria database
Functional: PBE
Structure: optimized geometry

Cell lengths 4.6707, 4.6707, 4.4387 Å; angles 93.55, 93.55, 36.15 degrees
Element x y z (fractional)
Co  0.0000  0.0000  0.0000
Tc  0.4628  0.4628  0.4657
Tc  0.7302  0.7302  0.2296
Se  0.2287  0.2287  0.7689

Output
space group = No. 8
VASP energy = -7.562 eV per atom
crystal system = monoclinic



Compound: CoTc2Se
Source: the Alexandria database
Functional: PBE
Structure: optimized geometry

Cell lengths 6.5362, 6.5362, 6.5362 Å; angles 131.19, 131.19, 71.51 degrees
Element x y z (fractional)
Co  0.0000  0.0000  0.0000
Co  0.7500  0.2500  0.5000
Tc  0.0955  0.6250  0.9705
Tc  0.3750  0.3455  0.4705
Tc  0.6545  0.1250  0.0295
Tc  0.8750  0.9045  0.5295
Se  0.2500  0.7500  0.5000
Se  0.5000  0.5000  0.0000

Output
space group = No. 122
VASP energy = -7.066 eV per atom
crystal system = tetragonal



Compound: CoTcSe4
Source: the Alexandria database
Functional: PBE
Structure: optimized geometry

Cell lengths 5.5956, 5.5956, 5.5956 Å; angles 60.00, 60.00, 60.00 degrees
Element x y z (fractional)
Co  0.0000  0.0000  0.0000
Tc  0.7500  0.7500  0.7500
Se  0.3745  0.3745  0.3745
Se  0.3745  0.3745  0.8764
Se  0.3745  0.8764  0.3745
Se  0.8764  0.3745  0.3745

Output
space group = No. 216
VASP energy = -3.945 eV per atom
crystal system = cubic



Compound: Co3TcSe
Source: the Alexandria database
Functional: PBE
Structure: optimized geometry

Cell lengths 4.2944, 4.2944, 4.2944 Å; angles 90.00, 90.00, 90.00 degrees
Element x y z (fractional)
Co  0.0000  0.0000  0.5000
Co  0.0000  0.5000  0.0000
Co  0.5000  0.0000  0.0000
Tc  0.5000  0.5000  0.5000
Se  0.0000  0.0000  0.0000

Output
space group = No. 221
VASP energy = -6.062 eV per atom
crystal system = cubic



Compound: CoTcSe4
Source: the Alexandria database
Functional: PBE
Structure: optimized geometry

Cell lengths 7.9282, 7.9282, 5.4132 Å; angles 108.98, 108.98, 120.57 degrees
Element x y z (fractional)
Co  0.1886  0.8114  0.7500
Co  0.8114  0.1886  0.2500
Tc  0.4484  0.5516  0.2500
Tc  0.5516  0.4484  0.7500
Se  0.1192  0.5188  0.2989
Se  0.1485  0.2687  0.6424
Se  0.2687  0.1485  0.1424
Se  0.4812  0.8808  0.2011
Se  0.5188  0.1192  0.7989
Se  0.7313  0.8515  0.8576
Se  0.8515  0.7313  0.3576
Se  0.8808  0.4812  0.7011

Output
space group = No. 15
VASP energy = -5.451 eV per atom
crystal system = monoclinic



Compound: CoTc2Se5
Source: the Alexandria database
Functional: PBE
Structure: optimized geometry

Cell lengths 6.7364, 6.7364, 5.5522 Å; angles 113.06, 113.06, 62.02 degrees
Element x y z (fractional)
Co  0.0000  0.0000  0.0000
Tc  0.3913  0.3913  0.8244
Tc  0.9995  0.9995  0.4686
Se  0.0960  0.6418  0.0788
Se  0.1952  0.1952  0.4281
Se  0.3099  0.7918  0.7997
Se  0.6418  0.0960  0.0788
Se  0.7918  0.3099  0.7997

Output
space group = No. 8
VASP energy = -5.669 eV per atom
crystal system = monoclinic



Compound: CoTc2Se
Source: the Alexandria database
Functional: PBE
Structure: optimized geometry

Cell lengths 8.2269, 8.2269, 8.2269 Å; angles 20.01, 20.01, 20.01 degrees
Element x y z (fractional)
Co  0.0000  0.0000  0.0000
Tc  0.2503  0.2503  0.2503
Tc  0.7497  0.7497  0.7497
Se  0.5000  0.5000  0.5000

Output
space group = No. 166
VASP energy = -7.471 eV per atom
crystal system = trigonal



Repeat the third record exactly.
Compound: CoTc2Se
Source: the Alexandria database
Functional: PBE
Structure: optimized geometry

Cell lengths 6.5362, 6.5362, 6.5362 Å; angles 131.19, 131.19, 71.51 degrees
Element x y z (fractional)
Co  0.0000  0.0000  0.0000
Co  0.7500  0.2500  0.5000
Tc  0.0955  0.6250  0.9705
Tc  0.3750  0.3455  0.4705
Tc  0.6545  0.1250  0.0295
Tc  0.8750  0.9045  0.5295
Se  0.2500  0.7500  0.5000
Se  0.5000  0.5000  0.0000

Output
space group = No. 122
VASP energy = -7.066 eV per atom
crystal system = tetragonal



Look up the VASP energy of the eighth one. -7.471 eV per atom



Which value of VASP energy does entry 5 give? -6.062 eV per atom